Density functional theory data (SCAN) for Li2Mo at its PBEsol-relaxed geometry.

Energy: -12.50 eV per atom
Symmetry: I4/mcm (140)

a b c (Å): 4.502 5.540 5.540
angles (deg): 80.50 66.02 66.02
Atoms (fractional coordinates):
Li 0.340 0.820 0.500
Li 0.840 0.500 0.820
Li 0.160 0.500 0.180
Li 0.660 0.180 0.500
Mo 0.750 0.000 0.000
Mo 0.250 0.000 0.000

---

Density functional theory data (SCAN) for Li2Mo at its PBEsol-relaxed geometry.

Energy: -12.87 eV per atom
Symmetry: P-3m1 (164)

a b c (Å): 2.671 2.671 7.528
angles (deg): 90.00 90.00 120.00
Atoms (fractional coordinates):
Li 0.667 0.333 0.678
Li 0.333 0.667 0.322
Mo 0.000 0.000 0.000

---

Density functional theory data (SCAN) for LiMo2 at its PBEsol-relaxed geometry.

Energy: -23.64 eV per atom
Symmetry: Cmcm (63)

a b c (Å): 2.514 4.629 8.168
angles (deg): 90.00 98.85 90.00
Atoms (fractional coordinates):
Mo 0.889 0.250 0.779
Mo 0.111 0.750 0.221
Mo 0.549 0.250 0.097
Mo 0.451 0.750 0.903
Li 0.216 0.250 0.432
Li 0.784 0.750 0.568

---

Density functional theory data (SCAN) for LiMoN2 at its PBEsol-relaxed geometry.

ΔE_f (raw): -0.590 eV/atom
Energy: -14.55 eV per atom
Symmetry: I-42d (122)

a b c (Å): 4.621 4.621 5.641
angles (deg): 114.18 114.18 90.00
Atoms (fractional coordinates):
N 0.625 0.669 0.750
N 0.125 0.081 0.750
N 0.331 0.875 0.250
N 0.919 0.375 0.250
Mo 0.000 0.000 0.000
Mo 0.250 0.750 0.500
Li 0.750 0.250 0.500
Li 0.500 0.500 0.000